Entry 1:
Below is a relaxed Y2Te4O11 crystal, with properties calculated at the GGA-PBEsol level.

Final energy (eV per atom): -6.9103
Energy relative to the elements, uncorrected (meV per atom): -1881
Size of the total moment (μB/atom): 0.00
N(E_F) (states/eV/atom): 0.000

a b c (Å): 6.644 6.644 15.949
angles (deg): 104.97 104.97 45.03
Atoms (fractional coordinates):
Y: 0.129 0.633 0.963
Y: 0.367 0.871 0.537
Y: 0.633 0.129 0.463
Y: 0.871 0.367 0.037
Te: 0.092 0.661 0.629
Te: 0.096 0.653 0.298
Te: 0.339 0.908 0.871
Te: 0.347 0.904 0.202
Te: 0.653 0.096 0.798
Te: 0.661 0.092 0.129
Te: 0.904 0.347 0.702
Te: 0.908 0.339 0.371
O: 0.054 0.898 0.403
O: 0.102 0.946 0.097
O: 0.163 0.253 0.947
O: 0.185 0.312 0.630
O: 0.253 0.163 0.447
O: 0.285 0.410 0.830
O: 0.312 0.185 0.130
O: 0.325 0.540 0.546
O: 0.363 0.637 0.250
O: 0.410 0.285 0.330
O: 0.460 0.675 0.954
O: 0.540 0.325 0.046
O: 0.590 0.715 0.670
O: 0.637 0.363 0.750
O: 0.675 0.460 0.454
O: 0.688 0.815 0.870
O: 0.715 0.590 0.170
O: 0.747 0.837 0.553
O: 0.815 0.688 0.370
O: 0.837 0.747 0.053
O: 0.898 0.054 0.903
O: 0.946 0.102 0.597

***

Entry 2:
Below is a relaxed Y2Te5O13 crystal, with properties calculated at the GGA-PBEsol level.

Final energy (eV per atom): -6.7353
Energy relative to the elements, uncorrected (meV per atom): -1760
Size of the total moment (μB/atom): 0.00
N(E_F) (states/eV/atom): 0.000

a b c (Å): 6.907 8.565 10.429
angles (deg): 88.94 87.29 74.99
Atoms (fractional coordinates):
Y: 0.000 0.238 0.238
Y: 0.000 0.762 0.762
Y: 0.446 0.970 0.821
Y: 0.554 0.030 0.179
Te: 0.128 0.848 0.101
Te: 0.151 0.301 0.635
Te: 0.267 0.898 0.478
Te: 0.292 0.383 0.968
Te: 0.436 0.406 0.306
Te: 0.564 0.594 0.694
Te: 0.708 0.617 0.032
Te: 0.733 0.102 0.522
Te: 0.849 0.699 0.365
Te: 0.872 0.152 0.899
O: 0.037 0.851 0.561
O: 0.050 0.516 0.690
O: 0.060 0.318 0.031
O: 0.066 0.775 0.281
O: 0.124 0.986 0.899
O: 0.237 0.999 0.183
O: 0.316 0.233 0.292
O: 0.326 0.242 0.773
O: 0.328 0.723 0.776
O: 0.331 0.018 0.615
O: 0.346 0.487 0.125
O: 0.455 0.693 0.514
O: 0.473 0.175 0.996
O: 0.527 0.825 0.004
O: 0.545 0.307 0.486
O: 0.654 0.513 0.875
O: 0.669 0.982 0.385
O: 0.672 0.277 0.224
O: 0.674 0.758 0.227
O: 0.684 0.767 0.708
O: 0.763 0.001 0.817
O: 0.876 0.014 0.101
O: 0.934 0.225 0.719
O: 0.940 0.682 0.969
O: 0.950 0.484 0.310
O: 0.963 0.149 0.439